## 1
This record from Alexandria via LeMat-Bulk describes a relaxed NaTl6Sn crystal. The functional is PBE.

Cell: 11.2451 11.2451 6.7183 Å, 90.00 90.00 120.00°
Space group R-3m (No. 166, hexagonal axes)
Inequivalent atoms, fractional coordinates:
Na (0.0000, 0.0000, 0.0000) [3 per cell]
Tl (0.0045, 0.5023, 0.2515) [18 per cell]
Sn (0.0000, 0.0000, 0.5000) [3 per cell]

Properties
density of states at the Fermi level	0.314	states/eV/atom

---

## 2
This record from Alexandria via LeMat-Bulk describes a relaxed NaTl6Sn crystal. The functional is PBE.

Cell: 7.4946 11.2871 5.6296 Å, 90.00 90.00 90.00°
Space group Cmmm (No. 65)
Inequivalent atoms, fractional coordinates:
Na (0.0000, 0.0000, 0.0000) [2 per cell]
Tl (0.0000, 0.2487, 0.5000) [4 per cell]
Tl (0.2394, 0.5000, 0.5000) [4 per cell]
Tl (0.2500, 0.2500, 0.0000) [4 per cell]
Sn (0.0000, 0.5000, 0.0000) [2 per cell]

Properties
density of states at the Fermi level	0.478	states/eV/atom

---

Short version: 1 is the least stable of them.